Crystalline TmPaTl2O6 at its relaxed geometry, computed with PBE.

Uncorrected formation energy = -2.3058 eV/atom
Crystal system = monoclinic
Space-group type = C2/m, No. 12
D(E_F) = 0.55 states/eV/atom

a b c (Å): 6.0332 6.0332 5.9951
angles (deg): 119.70 119.70 61.69
Last column: nearest neighbours and their distance in Å.
Fractional coordinates of all 10 atoms:
Tm  0.0000  0.0000  0.0000  6 O 2.24-2.27
Pa  0.5000  0.5000  0.5000  6 O 2.19-2.21
Tl  0.2482  0.2482  0.7721  5 O 2.45-2.59
Tl  0.7518  0.7518  0.2279  5 O 2.45-2.59
O  0.1848  0.6814  0.1857  1 Pa 2.21, 1 Tm 2.24
O  0.2548  0.2548  0.3703  1 Pa 2.19, 1 Tm 2.27
O  0.3186  0.8152  0.8143  1 Pa 2.21, 1 Tm 2.24
O  0.6814  0.1848  0.1857  1 Pa 2.21, 1 Tm 2.24
O  0.7452  0.7452  0.6297  1 Pa 2.19, 1 Tm 2.27
O  0.8152  0.3186  0.8143  1 Pa 2.21, 1 Tm 2.24


Crystalline Pu2NpIn at its relaxed geometry, computed with PBE.

Energy of formation = 510.7 meV per atom
Crystal system = trigonal
Space-group type = R-3m, No. 166
D(E_F) = 2.71 states/eV/atom

a b c (Å): 9.1362 9.1362 9.1362
angles (deg): 23.23 23.23 23.23
Last column: nearest neighbours and their distance in Å.
Fractional coordinates of all 4 atoms:
Pu  0.1181  0.1181  0.1181  3 Np 2.49
Pu  0.8819  0.8819  0.8819  3 Np 2.49
Np  0.5000  0.5000  0.5000  6 Pu 2.49
In  0.0000  0.0000  0.0000  2 Pu 3.15


Crystalline CeB4Ru4 at its relaxed geometry, computed with PBE.

Energy of formation = -502.2 meV per atom
Crystal system = tetragonal
Space-group type = P4_2/n, No. 86
D(E_F) = 0.29 states/eV/atom

a b c (Å): 7.4861 7.4861 4.0417
angles (deg): 90.00 90.00 90.00
Last column: nearest neighbours and their distance in Å.
Fractional coordinates of all 18 atoms:
Ce  0.2500  0.2500  0.2500  8 B 2.94-3.00, 8 Ru 3.13-3.22
Ce  0.7500  0.7500  0.7500  8 B 2.94-3.00, 8 Ru 3.13-3.22
B  0.0389  0.9152  0.1386  1 B 1.79
B  0.0848  0.5389  0.6386  1 B 1.79
B  0.4152  0.9611  0.6386  1 B 1.79
B  0.4611  0.5848  0.1386  1 B 1.79
B  0.5389  0.4152  0.8614  1 B 1.79
B  0.5848  0.0389  0.3614  1 B 1.79
B  0.9152  0.4611  0.3614  1 B 1.79
B  0.9611  0.0848  0.8614  1 B 1.79
Ru  0.1075  0.6384  0.1404  4 B 2.14-2.17
Ru  0.1384  0.8925  0.6404  4 B 2.14-2.17
Ru  0.3616  0.6075  0.6404  4 B 2.14-2.17
Ru  0.3925  0.8616  0.1404  4 B 2.14-2.17
Ru  0.6075  0.1384  0.8596  4 B 2.14-2.17
Ru  0.6384  0.3925  0.3596  4 B 2.14-2.17
Ru  0.8616  0.1075  0.3596  4 B 2.14-2.17
Ru  0.8925  0.3616  0.8596  4 B 2.14-2.17


Crystalline IrPtS at its relaxed geometry, computed with PBE.

Uncorrected formation energy = -0.0077 eV/atom
Crystal system = monoclinic
Space-group type = Cm, No. 8
D(E_F) = 0.56 states/eV/atom

a b c (Å): 5.9298 5.9298 5.2299
angles (deg): 107.23 107.23 33.90
Last column: nearest neighbours and their distance in Å.
Fractional coordinates of all 6 atoms:
Ir  0.0000  0.0000  0.0000  3 S 2.32-2.34
Ir  0.7493  0.7493  0.6619  3 S 2.34-2.37
Pt  0.4249  0.4249  0.5718  1 S 2.37, 2 Pt 2.63
Pt  0.8083  0.8083  0.1992  2 S 2.43, 2 Pt 2.63, 3 Ir 2.68-2.70
S  0.1886  0.1886  0.9048  3 Ir 2.34-2.37, 2 Pt 2.43
S  0.5620  0.5620  0.3097  3 Ir 2.32-2.34, 1 Pt 2.37


Crystalline AlZn2Cd at its relaxed geometry, computed with PBE.

Energy of formation = 109.2 meV per atom
Crystal system = orthorhombic
Space-group type = Imm2, No. 44
D(E_F) = 0.30 states/eV/atom

a b c (Å): 5.8874 5.8874 5.8874
angles (deg): 152.68 129.47 58.39
Last column: nearest neighbours and their distance in Å.
Fractional coordinates of all 4 atoms:
Al  0.0000  0.0000  0.0000  2 Al 2.78, 6 Zn 2.81-2.89
Zn  0.5320  0.5320  0.0000  4 Zn 2.75-2.78, 4 Al 2.89, 2 Cd 3.02
Zn  0.7626  0.2626  0.5000  4 Zn 2.75-2.78, 2 Al 2.81, 4 Cd 2.87
Cd  0.2716  0.7716  0.5000  2 Cd 2.78, 6 Zn 2.87-3.02


Crystalline InBiPdPb2 at its relaxed geometry, computed with PBE.

Energy of formation = -5.6 meV per atom
Crystal system = tetragonal
Space-group type = P4/mmm, No. 123
D(E_F) = 0.60 states/eV/atom

a b c (Å): 5.4404 5.4404 5.1704
angles (deg): 90.00 90.00 90.00
Last column: nearest neighbours and their distance in Å.
Fractional coordinates of all 5 atoms:
In  0.0000  0.0000  0.0000  2 Pd 2.59
Bi  0.5000  0.5000  0.0000  8 Pb 3.75, 4 In 3.85
Pd  0.0000  0.0000  0.5000  2 In 2.59, 4 Pb 2.72
Pb  0.0000  0.5000  0.5000  2 Pd 2.72
Pb  0.5000  0.0000  0.5000  2 Pd 2.72


> What is the D(E_F) in the fifth record?

0.30 states/eV/atom